First-principles (PBE-GGA) data for a relaxed Be3OsAu crystal, as listed in the Alexandria database.

a = 4.1903 Å, b = 4.1903 Å, c = 4.1903 Å
α = 90.00°, β = 90.00°, γ = 90.00°
Closest atoms and distances in Å follow each position.
Positions (direct):
Be1 0.0000 0.0000 0.5000  2 Os 2.10
Be2 0.0000 0.5000 0.0000  2 Os 2.10
Be3 0.5000 0.0000 0.0000  2 Os 2.10
Os1 0.0000 0.0000 0.0000  6 Be 2.10
Au1 0.5000 0.5000 0.5000  12 Be 2.96

Summary:
The formation energy comes out at 0.74 eV/atom. For the energy relative to the lowest polymorph listed for this composition, the calculation gives 0.000 eV/atom.